This record from Alexandria via LeMat-Bulk describes crystalline Ce4PmTl5 at its relaxed geometry. The functional is GGA-PBE.

**Mass density**: 9888 kg/m³
**Formation energy**: -0.228 eV/atom
**Space-group type**: P4/mmm
**Uncorrected energy**: -4.259 eV per atom

Unit cell a=4.1352 b=4.1352 c=16.9646 alpha=90.00 beta=90.00 gamma=90.00
Last column: nearest neighbours and their distance in Å.
Element x y z (fractional)
Ce 0.0000 0.0000 0.2050  1 Ce 3.33, 8 Tl 3.35-3.42, 1 Pm 3.48
Ce 0.0000 0.0000 0.4012  2 Ce 3.33-3.35, 8 Tl 3.37
Ce 0.0000 0.0000 0.5988  2 Ce 3.33-3.35, 8 Tl 3.37
Ce 0.0000 0.0000 0.7950  1 Ce 3.33, 8 Tl 3.35-3.42, 1 Pm 3.48
Pm 0.0000 0.0000 0.0000  8 Tl 3.39, 2 Ce 3.48
Tl 0.5000 0.5000 0.1005  4 Pm 3.39, 2 Tl 3.41-3.42, 4 Ce 3.42
Tl 0.5000 0.5000 0.3020  8 Ce 3.35-3.37, 2 Tl 3.36-3.42
Tl 0.5000 0.5000 0.5000  2 Tl 3.36, 8 Ce 3.37
Tl 0.5000 0.5000 0.6980  8 Ce 3.35-3.37, 2 Tl 3.36-3.42
Tl 0.5000 0.5000 0.8995  4 Pm 3.39, 2 Tl 3.41-3.42, 4 Ce 3.42

This record from Alexandria via LeMat-Bulk describes crystalline Ce3Pm2Tl6 at its relaxed geometry. The functional is GGA-PBE.

**Mass density**: 7861 kg/m³
**Formation energy**: 0.131 eV/atom
**Space-group type**: I4/mmm
**Uncorrected energy**: -3.642 eV per atom

Unit cell a=6.0439 b=6.0439 c=11.9871 alpha=104.60 beta=104.60 gamma=90.00
Last column: nearest neighbours and their distance in Å.
Element x y z (fractional)
Ce 0.0000 0.0000 0.0000  2 Ce 3.08, 8 Tl 3.41
Ce 0.8626 0.8626 0.7253  1 Ce 3.08, 5 Tl 3.24-3.37
Ce 0.1374 0.1374 0.2747  1 Ce 3.08, 5 Tl 3.24-3.37
Pm 0.4232 0.4232 0.8464  5 Tl 3.03-3.16
Pm 0.5768 0.5768 0.1536  5 Tl 3.03-3.16
Tl 0.0704 0.5704 0.1408  2 Pm 3.03, 1 Tl 3.15, 2 Ce 3.37
Tl 0.5704 0.0704 0.1408  2 Pm 3.03, 1 Tl 3.15, 2 Ce 3.37
Tl 0.9296 0.4296 0.8592  2 Pm 3.03, 1 Tl 3.15, 2 Ce 3.37
Tl 0.4296 0.9296 0.8592  2 Pm 3.03, 1 Tl 3.15, 2 Ce 3.37
Tl 0.7181 0.7181 0.4362  1 Pm 3.16, 1 Ce 3.24
Tl 0.2819 0.2819 0.5638  1 Pm 3.16, 1 Ce 3.24

This record from Alexandria via LeMat-Bulk describes crystalline Ce2Pm2Tl3 at its relaxed geometry. The functional is GGA-PBE.

**Mass density**: 9938 kg/m³
**Formation energy**: -0.247 eV/atom
**Space-group type**: Cmmm
**E above lowest polymorph**: 0.00 eV per formula unit
**Uncorrected energy**: -4.314 eV per atom

Unit cell a=4.4320 b=3.5631 c=12.7153 alpha=90.00 beta=79.96 gamma=90.00
Last column: nearest neighbours and their distance in Å.
Element x y z (fractional)
Ce 0.7156 0.5000 0.5688  2 Ce 2.81
Ce 0.2844 0.5000 0.4312  2 Ce 2.81
Pm 0.5736 0.5000 0.8528  8 Tl 3.38-3.39, 1 Ce 3.56, 3 Pm 3.56-3.69
Pm 0.4264 0.5000 0.1472  8 Tl 3.38-3.39, 1 Ce 3.56, 3 Pm 3.56-3.69
Tl 0.8537 0.0000 0.2925  4 Ce 3.33, 4 Pm 3.38, 3 Tl 3.56-3.66
Tl 0.0000 0.0000 0.0000  8 Pm 3.39, 4 Tl 3.56-3.66
Tl 0.1463 0.0000 0.7075  4 Ce 3.33, 4 Pm 3.38, 3 Tl 3.56-3.66

This record from Alexandria via LeMat-Bulk describes crystalline CePm3Tl6 at its relaxed geometry. The functional is GGA-PBE.

**Mass density**: 9857 kg/m³
**Formation energy**: -0.217 eV/atom
**Space-group type**: Cmc2_1
**Uncorrected energy**: -3.655 eV per atom

Unit cell a=7.4297 b=9.0725 c=9.0725 alpha=97.02 beta=90.00 gamma=90.00
Last column: nearest neighbours and their distance in Å.
Element x y z (fractional)
Ce 0.9967 0.2082 0.7918  9 Tl 3.34-3.73, 1 Pm 3.73
Ce 0.4967 0.7918 0.2082  9 Tl 3.34-3.73, 1 Pm 3.73
Pm 0.4937 0.8301 0.7447  6 Tl 3.13-3.36
Pm 0.9937 0.7447 0.8301  6 Tl 3.13-3.36
Pm 0.2937 0.4294 0.5706  7 Tl 3.20-3.48
Pm 0.7937 0.5706 0.4294  7 Tl 3.20-3.48
Pm 0.9937 0.1699 0.2553  6 Tl 3.13-3.36
Pm 0.4937 0.2553 0.1699  6 Tl 3.13-3.36
Tl 0.1959 0.7613 0.5024  4 Tl 3.01-3.28, 3 Pm 3.13-3.35
Tl 0.6959 0.5024 0.7613  4 Tl 3.01-3.28, 3 Pm 3.13-3.35
Tl 0.3004 0.5245 0.9224  3 Tl 3.01-3.28, 2 Pm 3.20-3.21
Tl 0.8004 0.9224 0.5245  3 Tl 3.01-3.28, 2 Pm 3.20-3.21
Tl 0.2411 0.9943 0.0057  4 Pm 3.19-3.24, 2 Tl 3.32-3.33, 2 Ce 3.34-3.43
Tl 0.4739 0.2025 0.7975  6 Tl 3.23-3.33, 3 Pm 3.36, 1 Ce 3.55
Tl 0.9739 0.7975 0.2025  6 Tl 3.23-3.33, 3 Pm 3.36, 1 Ce 3.55
Tl 0.7411 0.0057 0.9943  4 Pm 3.19-3.24, 2 Tl 3.32-3.33, 2 Ce 3.34-3.43
Tl 0.3004 0.0776 0.4755  3 Tl 3.01-3.28, 2 Pm 3.20-3.21
Tl 0.8004 0.4755 0.0776  3 Tl 3.01-3.28, 2 Pm 3.20-3.21
Tl 0.1959 0.4976 0.2387  4 Tl 3.01-3.28, 3 Pm 3.13-3.35
Tl 0.6959 0.2387 0.4976  4 Tl 3.01-3.28, 3 Pm 3.13-3.35